# 1
{
  "formula": "Sb2AsIN",
  "functional": "GGA-PBE",
  "state": "relaxed",
  "lattice_angstrom": [[5.443, 0.000, 0.000], [0.000, 5.443, 0.000], [0.000, 0.000, 5.398]],
  "species": ["I", "Sb", "As", "Sb", "N"],
  "fractional_positions": [[0.000, 0.000, 0.500], [0.500, 0.000, 0.000], [0.000, 0.000, 0.000], [0.000, 0.500, 0.000], [0.500, 0.500, 0.500]],
  "raw_formation_energy_mev_per_atom": 1825.1,
  "de_polymorph_kcal_per_mol_atoms": 21.80
}

---

# 2
{
  "formula": "CoIrBr",
  "functional": "GGA-PBE",
  "state": "relaxed",
  "lattice_angstrom": [[-0.984, -2.721, -3.129], [3.098, -2.000, -2.137], [0.606, -4.183, 0.545]],
  "species": ["Br", "Co", "Ir"],
  "fractional_positions": [[0.000, 0.000, 0.000], [0.500, 0.500, 0.500], [0.750, 0.750, 0.750]],
  "raw_formation_energy_mev_per_atom": 988.8,
  "de_polymorph_kcal_per_mol_atoms": 6.64
}

---

# 3
{
  "formula": "YAsRu2",
  "functional": "GGA-PBE",
  "state": "relaxed",
  "lattice_angstrom": [[5.327, -1.037, -0.618], [4.421, 3.148, -0.618], [4.421, 0.957, 3.062]],
  "species": ["Y", "Ru", "As", "Ru"],
  "fractional_positions": [[0.504, 0.504, 0.504], [0.981, 0.981, 0.981], [0.713, 0.713, 0.713], [0.303, 0.303, 0.303]],
  "ef_ev_per_fu": -1.4
}

---

# 4
{
  "formula": "TaRu2W",
  "functional": "GGA-PBE",
  "state": "relaxed",
  "lattice_angstrom": [[-0.471, 2.971, 3.328], [1.065, -1.961, 1.901], [4.411, 1.544, -0.754]],
  "species": ["Ru", "Ru", "W", "Ta"],
  "fractional_positions": [[0.000, 0.132, 0.929], [0.500, 0.113, 0.334], [0.500, 0.642, 0.829], [0.000, 0.613, 0.408]],
  "de_polymorph_kcal_per_mol_atoms": 0.08,
  "ef_ev_per_fu": -0.3
}

---

# 5
{
  "formula": "In2HRu",
  "functional": "GGA-PBE",
  "state": "relaxed",
  "lattice_angstrom": [[0.000, 3.214, 3.214], [3.214, 0.000, 3.214], [3.214, 3.214, 0.000]],
  "species": ["H", "In", "In", "Ru"],
  "fractional_positions": [[0.000, 0.000, 0.000], [0.750, 0.750, 0.750], [0.250, 0.250, 0.250], [0.500, 0.500, 0.500]],
  "de_polymorph_kcal_per_mol_atoms": 4.44
}

---

# 6
{
  "formula": "TaMnRe2",
  "functional": "GGA-PBE",
  "state": "relaxed",
  "lattice_angstrom": [[-3.087, -0.345, -0.201], [0.358, -1.699, -2.583], [0.350, -5.123, 3.418]],
  "species": ["Re", "Ta", "Mn", "Re"],
  "fractional_positions": [[0.000, 0.000, 0.992], [0.000, 0.000, 0.515], [0.500, 0.500, 0.751], [0.500, 0.500, 0.242]],
  "ef_ev_per_fu": -0.1
}

---

Theoretical density values (in g/cm³) by entry order: 4.769, 10.043, 7.856, 15.120, 8.298, 16.901.
DFT total energy values (in eV per atom) by entry order: -2.7289, -4.8911, -7.7725, -10.9133, -3.9122, -11.4956.